a) The following is a GGA-PBE calculation of NaMgFe3 after structural relaxation, from the Alexandria database.

Properties
Symmetry: No. 221
M_tot, μB per cell: 8.05

Lattice parameters (Å, degrees): 4.5036 4.5036 4.5036 90.00 90.00 90.00
Last column: nearest neighbours and their distance in Å.
Fractional coordinates of all 5 atoms:
Na 0.0000 0.0000 0.0000  6 Fe 2.25
Mg 0.5000 0.5000 0.5000  12 Fe 3.18
Fe 0.0000 0.5000 0.0000  2 Na 2.25
Fe 0.0000 0.0000 0.5000  2 Na 2.25
Fe 0.5000 0.0000 0.0000  2 Na 2.25

b) The following is a GGA-PBE calculation of NaMgFe3 after structural relaxation, from the Alexandria database.

Properties
Symmetry: No. 221
M_tot, μB per cell: 8.22

Lattice parameters (Å, degrees): 4.6848 4.6848 4.6848 90.00 90.00 90.00
Last column: nearest neighbours and their distance in Å.
Fractional coordinates of all 5 atoms:
Na 0.5000 0.5000 0.5000  12 Fe 3.31
Mg 0.0000 0.0000 0.0000  6 Fe 2.34
Fe 0.0000 0.5000 0.0000  2 Mg 2.34
Fe 0.0000 0.0000 0.5000  2 Mg 2.34
Fe 0.5000 0.0000 0.0000  2 Mg 2.34

What should be chosen as the most stable of them? Choose b).

a) The following is a GGA-PBE calculation of MgNb2Fe2 after structural relaxation, from the Alexandria database.

Properties
Symmetry: No. 127
M_tot, μB per cell: 0.00

Lattice parameters (Å, degrees): 7.4188 7.4188 2.8490 90.00 90.00 90.00
Last column: nearest neighbours and their distance in Å.
Fractional coordinates of all 10 atoms:
Mg 0.0000 0.0000 0.0000  4 Nb 2.83, 2 Mg 2.85
Mg 0.5000 0.5000 0.0000  4 Nb 2.83, 2 Mg 2.85
Nb 0.3519 0.8519 0.0000  6 Fe 2.58-2.61, 2 Mg 2.83, 2 Nb 2.85
Nb 0.8519 0.6481 0.0000  6 Fe 2.58-2.61, 2 Mg 2.83, 2 Nb 2.85
Nb 0.6481 0.1481 0.0000  6 Fe 2.58-2.61, 2 Mg 2.83, 2 Nb 2.85
Nb 0.1481 0.3519 0.0000  6 Fe 2.58-2.61, 2 Mg 2.83, 2 Nb 2.85
Fe 0.1472 0.6472 0.5000  6 Nb 2.58-2.61, 2 Fe 2.85
Fe 0.6472 0.8528 0.5000  6 Nb 2.58-2.61, 2 Fe 2.85
Fe 0.8528 0.3528 0.5000  6 Nb 2.58-2.61, 2 Fe 2.85
Fe 0.3528 0.1472 0.5000  6 Nb 2.58-2.61, 2 Fe 2.85

b) The following is a GGA-PBE calculation of MgNb2Fe2 after structural relaxation, from the Alexandria database.

Properties
Symmetry: No. 127
M_tot, μB per cell: 0.00

Lattice parameters (Å, degrees): 7.2090 7.2090 2.9715 90.00 90.00 90.00
Last column: nearest neighbours and their distance in Å.
Fractional coordinates of all 10 atoms:
Mg 0.0000 0.0000 0.0000  4 Fe 2.80, 2 Mg 2.97, 8 Nb 3.09
Mg 0.5000 0.5000 0.0000  4 Fe 2.80, 2 Mg 2.97, 8 Nb 3.09
Nb 0.1584 0.6584 0.5000  6 Fe 2.56-2.60
Nb 0.6584 0.8416 0.5000  6 Fe 2.56-2.60
Nb 0.8416 0.3416 0.5000  6 Fe 2.56-2.60
Nb 0.3416 0.1584 0.5000  6 Fe 2.56-2.60
Fe 0.3633 0.8633 0.0000  6 Nb 2.56-2.60, 1 Fe 2.79, 2 Mg 2.80
Fe 0.8633 0.6367 0.0000  6 Nb 2.56-2.60, 1 Fe 2.79, 2 Mg 2.80
Fe 0.6367 0.1367 0.0000  6 Nb 2.56-2.60, 1 Fe 2.79, 2 Mg 2.80
Fe 0.1367 0.3633 0.0000  6 Nb 2.56-2.60, 1 Fe 2.79, 2 Mg 2.80

What should be chosen as the most stable of them? Choose b).

a) The following is a GGA-PBE calculation of Mg2Nb2Fe after structural relaxation, from the Alexandria database.

Properties
Symmetry: No. 139
M_tot, μB per cell: 2.73

Lattice parameters (Å, degrees): 3.6559 3.6559 8.0851 76.93 76.93 90.00
Last column: nearest neighbours and their distance in Å.
Fractional coordinates of all 5 atoms:
Mg 0.4105 0.4105 0.1791  1 Mg 2.74, 4 Fe 2.93, 4 Nb 3.06
Mg 0.5895 0.5895 0.8209  1 Mg 2.74, 4 Fe 2.93, 4 Nb 3.06
Nb 0.7500 0.2500 0.5000  4 Nb 2.59
Nb 0.2500 0.7500 0.5000  4 Nb 2.59
Fe 0.0000 0.0000 0.0000  8 Mg 2.93

b) The following is a GGA-PBE calculation of Mg2Nb2Fe after structural relaxation, from the Alexandria database.

Properties
Symmetry: No. 127
M_tot, μB per cell: 3.56

Lattice parameters (Å, degrees): 6.5822 6.5822 4.1175 90.00 90.00 90.00
Last column: nearest neighbours and their distance in Å.
Fractional coordinates of all 10 atoms:
Mg 0.3562 0.8562 0.0000  2 Fe 2.53, 1 Mg 2.68, 2 Nb 2.76
Mg 0.8562 0.6438 0.0000  2 Fe 2.53, 1 Mg 2.68, 2 Nb 2.76
Mg 0.6438 0.1438 0.0000  2 Fe 2.53, 1 Mg 2.68, 2 Nb 2.76
Mg 0.1438 0.3562 0.0000  2 Fe 2.53, 1 Mg 2.68, 2 Nb 2.76
Nb 0.1593 0.6593 0.5000  6 Mg 2.76-2.87, 1 Nb 2.97
Nb 0.6593 0.8407 0.5000  6 Mg 2.76-2.87, 1 Nb 2.97
Nb 0.8407 0.3407 0.5000  6 Mg 2.76-2.87, 1 Nb 2.97
Nb 0.3407 0.1593 0.5000  6 Mg 2.76-2.87, 1 Nb 2.97
Fe 0.0000 0.0000 0.0000  4 Mg 2.53
Fe 0.5000 0.5000 0.0000  4 Mg 2.53

What should be chosen as the most stable of them? Choose b).